<w>
Entry from Alexandria: Pr2TeBr after structural relaxation (PBE). Values from VASP.

```
&SYSTEM
  ibrav = 0, nat = 4, ntyp = 3
/
ATOMIC_SPECIES
Pr 140.91 Pr.upf
Te 127.60 Te.upf
Br 79.90 Br.upf
CELL_PARAMETERS angstrom
-4.520 0.195 -0.440
-1.901 -0.351 -4.114
-2.506 -6.854 -0.768
ATOMIC_POSITIONS angstrom
Pr -2.229 -1.705 -1.335
Pr -6.697 -5.305 -3.985
Te -4.463 -3.505 -2.660
Br 0.000 0.000 0.000
```

- symmetry = R-3m (166)
- magnetic moment (μB/f.u.) = 0.000
- density of states at the Fermi level (states/eV per cell) = 2.70

=====

<x>
Entry from Alexandria: Pr2TeBr after structural relaxation (PBE). Values from VASP.

```
&SYSTEM
  ibrav = 0, nat = 4, ntyp = 3
/
ATOMIC_SPECIES
Pr 140.91 Pr.upf
Te 127.60 Te.upf
Br 79.90 Br.upf
CELL_PARAMETERS angstrom
5.417 0.000 0.000
2.708 4.691 0.000
2.708 1.564 4.423
ATOMIC_POSITIONS angstrom
Pr 2.708 1.564 1.106
Pr 8.125 4.691 3.317
Te 0.000 0.000 0.000
Br 5.417 3.127 2.211
```

- symmetry = Fm-3m (225)
- magnetic moment (μB/f.u.) = 0.000
- density of states at the Fermi level (states/eV per cell) = 3.88

=====

Ranking the structures above by stability puts <x> first and <w> last.